(1)
Material: LaTh2Sc
Method: DFT, PBE
State: relaxed

Computed properties:
V in Å³/cell: 124.9
Energy above the most stable polymorph in this dataset in meV/atom: 37.9
Calculated formation energy in eV per atom: 0.08
Total moment in μB per cell: 0.00

Cell: 4.9934 4.9934 5.0096 Å, 90.00 90.00 90.00°
Closest atoms and distances in Å follow each position.
Space group P4/mmm (No. 123)
Symmetry-distinct sites (fractional):
La (0.0000, 0.0000, 0.0000) [1 per cell]  4 Sc 3.53, 8 Th 3.54
Th (0.0000, 0.5000, 0.5000) [2 per cell]  4 Th 3.53, 4 La 3.54, 4 Sc 3.54
Sc (0.5000, 0.5000, 0.0000) [1 per cell]  4 La 3.53, 8 Th 3.54

(2)
Material: FeMo
Method: DFT, PBE
State: relaxed

Computed properties:
V in Å³/cell: 111.1
Calculated formation energy in eV per atom: 0.08
Total moment in μB per cell: 8.92

Cell: 3.1246 4.2479 8.3724 Å, 90.00 90.00 90.00°
Closest atoms and distances in Å follow each position.
Space group Cmme (No. 67)
Symmetry-distinct sites (fractional):
Fe (0.0000, 0.2500, 0.1134) [4 per cell]  6 Fe 2.46-2.64, 2 Mo 2.61
Mo (0.0000, 0.2500, 0.6372) [4 per cell]  2 Fe 2.61, 6 Mo 2.64-2.78

(3)
Material: Li2Nd2HoGe2
Method: DFT, PBE
State: relaxed

Computed properties:
V in Å³/cell: 493.2
Calculated formation energy in eV per atom: -0.49
Total moment in μB per cell: 0.00

Cell: 4.4358 4.4358 28.9440 Å, 90.00 90.00 120.00°
Closest atoms and distances in Å follow each position.
Space group R-3m (No. 166, hexagonal axes)
Symmetry-distinct sites (fractional):
Li (0.0000, 0.0000, 0.1119) [6 per cell]  3 Ge 2.57
Nd (0.0000, 0.0000, 0.3774) [6 per cell]  3 Ge 3.13, 3 Li 3.23
Ho (0.0000, 0.0000, 0.5000) [3 per cell]  6 Li 3.01, 6 Ge 3.10
Ge (0.0000, 0.0000, 0.2273) [6 per cell]  3 Li 2.57

(4)
Material: Er3Te2O
Method: DFT, PBE
State: relaxed

Computed properties:
V in Å³/cell: 688.5
Formation energy from raw total energies in meV/atom: -1586
Total moment in μB per cell: 0.02

Cell: 14.3427 8.0065 5.9952 Å, 90.00 90.00 90.00°
Closest atoms and distances in Å follow each position.
Space group Cmc2_1 (No. 36)
Symmetry-distinct sites (fractional):
Er (0.0000, 0.0930, 0.0000) [4 per cell]  1 O 2.20
Er (0.1417, 0.2504, 0.4650) [8 per cell]  1 O 2.16
Te (0.1532, 0.3617, 0.9646) [8 per cell]  5 Er 3.07-3.13
O (0.0000, 0.1715, 0.4029) [4 per cell]  3 Er 2.16-2.20

(5)
Material: SrBAs2Br
Method: DFT, PBE
State: relaxed

Computed properties:
V in Å³/cell: 206.1
Formation energy from raw total energies in meV/atom: 1315
Energy above the most stable polymorph in this dataset in meV/atom: 1442.0
Total moment in μB per cell: 2.25

Cell: 5.9628 5.9628 5.7955 Å, 90.00 90.00 90.00°
Closest atoms and distances in Å follow each position.
Space group P4/mmm (No. 123)
Symmetry-distinct sites (fractional):
Sr (0.0000, 0.0000, 0.0000) [1 per cell]  2 Br 2.90, 4 As 2.98
B (0.5000, 0.5000, 0.5000) [1 per cell]  8 As 4.16, 4 Br 4.22
As (0.0000, 0.5000, 0.0000) [2 per cell]  2 Sr 2.98
Br (0.0000, 0.0000, 0.5000) [1 per cell]  2 Sr 2.90

(6)
Material: MnNbCoHSe
Method: DFT, PBE
State: relaxed

Computed properties:
V in Å³/cell: 62.1
Energy above the most stable polymorph in this dataset in meV/atom: 208.2
Total moment in μB per cell: 0.00

Cell: 3.0064 4.0637 5.2190 Å, 91.17 92.65 102.71°
Closest atoms and distances in Å follow each position.
Space group P1 (No. 1)
Symmetry-distinct sites (fractional):
Mn (0.0000, 0.0000, 0.0000) [1 per cell]  1 H 1.63
Nb (0.4950, 0.4579, 0.2366) [1 per cell]  2 H 1.98-2.14
Co (0.1605, 0.5343, 0.7189) [1 per cell]  3 Se 2.29-2.34, 1 Mn 2.51
H (0.0655, 0.8105, 0.2661) [1 per cell]  1 Mn 1.63
Se (0.5112, 0.0955, 0.6583) [1 per cell]  3 Co 2.29-2.34, 2 Mn 2.35-2.39, 1 H 2.51